# 1
Dy6TlPb2Se3 (PBE-GGA, optimized geometry); E_form (uncorrected) = -12.99 eV/f.u.; total magnetic moment = 0.000 μB/atom; crystal system = monoclinic
1.0
-2.371 -0.126 3.228
6.090 -5.156 4.272
2.580 9.573 -0.220
Pb Dy Se Tl
2 6 3 1
Cartesian
2.317 1.400 1.756 Pb
3.981 2.891 5.524 Pb
-0.383 2.949 2.321 Dy
1.820 7.832 4.129 Dy
3.448 4.277 2.699 Dy
4.478 -3.541 3.151 Dy
2.851 0.014 4.582 Dy
6.682 1.342 4.960 Dy
1.859 -2.641 3.750 Se
0.818 5.311 3.295 Se
5.481 -1.020 3.986 Se
-1.186 -0.063 1.614 Tl

# 2
EuScCdIn (PBE-GGA, optimized geometry); total magnetic moment = 1.824 μB/atom; energy relative to the elements = -0.334 eV/atom; crystal system = cubic
1.0
5.289 0.000 0.000
2.645 4.581 0.000
2.645 1.527 4.319
Eu Cd Sc In
1 1 1 1
Cartesian
5.289 3.054 2.159 Eu
7.934 4.581 3.239 Cd
0.000 0.000 0.000 Sc
2.645 1.527 1.080 In

# 3
CrHgSb2Os (PBE-GGA, optimized geometry); E_form (uncorrected) = 11.78 eV/f.u.; total magnetic moment = 0.348 μB/atom; energy above the lowest structure with this stoichiometry = 943 meV/atom; crystal system = tetragonal
1.0
5.356 0.000 0.000
0.000 5.050 0.000
0.000 0.000 5.356
Sb Hg Os Cr
2 1 1 1
Cartesian
2.678 0.000 0.000 Sb
0.000 0.000 2.678 Sb
0.000 0.000 0.000 Hg
0.000 2.525 0.000 Os
2.678 2.525 2.678 Cr

# 4
Zn2Ru3 (PBE-GGA, optimized geometry); total magnetic moment = 0.000 μB/atom; energy relative to the elements = 0.182 eV/atom; energy above the lowest structure with this stoichiometry = 116 meV/atom; crystal system = orthorhombic
1.0
-1.897 -2.086 7.477
0.811 2.096 6.692
-4.838 0.049 1.425
Ru Zn
6 4
Cartesian
-1.684 0.417 3.959 Ru
-2.763 0.468 9.077 Ru
-4.969 0.490 10.513 Ru
-4.338 0.431 13.003 Ru
-3.582 0.424 6.643 Ru
-2.100 -1.684 7.537 Ru
-4.279 0.498 4.031 Zn
-0.983 0.431 6.523 Zn
-2.089 0.441 11.695 Zn
-4.320 -1.607 8.884 Zn

# 5
Tb2PmSm6Er (PBE-GGA, optimized geometry); total magnetic moment = 0.000 μB/atom; energy relative to the elements = 0.117 eV/atom; crystal system = monoclinic
1.0
0.210 2.653 -9.270
-6.213 -6.233 -1.313
-2.690 7.993 2.839
Sm Er Pm Tb
12 2 2 4
Cartesian
-7.235 -1.849 -2.974 Sm
-5.925 -1.021 -9.218 Sm
-5.695 -0.173 -0.637 Sm
-3.511 -2.930 -2.431 Sm
-4.825 4.240 -4.371 Sm
-3.868 0.173 -3.374 Sm
-4.900 -2.273 -5.798 Sm
-5.182 7.343 -5.314 Sm
-3.793 6.687 -1.947 Sm
-2.999 4.586 -7.108 Sm
-2.768 5.435 1.474 Sm
-1.458 6.262 -4.770 Sm
-4.611 1.590 -6.563 Er
-4.082 2.823 -1.181 Er
-2.622 9.623 -4.219 Pm
-6.072 -5.210 -3.526 Pm
-6.286 4.566 -7.494 Tb
-6.747 1.805 -3.278 Tb
-2.407 -0.153 -0.250 Tb
-1.946 2.608 -4.467 Tb

# 6
Cr2NiIr (PBE-GGA, optimized geometry); total magnetic moment = 0.000 μB/atom; energy relative to the elements = -0.130 eV/atom; crystal system = tetragonal
1.0
3.656 0.000 0.000
0.000 3.658 0.000
0.000 0.000 3.725
Cr Ir Ni
2 1 1
Cartesian
0.000 0.000 0.000 Cr
1.828 1.829 0.000 Cr
1.828 0.000 1.862 Ir
0.000 1.829 1.862 Ni

# 7
BaY (PBE-GGA, optimized geometry); total magnetic moment = 0.000 μB/atom; energy relative to the elements = 0.270 eV/atom; energy above the lowest structure with this stoichiometry = 111 meV/atom; crystal system = orthorhombic
1.0
7.542 0.005 0.010
3.549 6.654 -0.010
-4.712 -4.718 3.524
Y Ba
2 2
Cartesian
6.088 -0.209 0.889 Y
0.291 2.150 2.635 Y
3.683 2.870 0.878 Ba
2.696 -0.929 2.645 Ba

# 8
CaTe2Mo (PBE-GGA, optimized geometry); E_form (uncorrected) = -1.45 eV/f.u.; total magnetic moment = 0.000 μB/atom; energy above the lowest structure with this stoichiometry = 69 meV/atom; crystal system = orthorhombic
1.0
-5.369 -3.362 -4.252
-2.895 -6.951 -1.231
2.264 5.694 4.545
Mo Te Ca
1 2 1
Cartesian
-2.017 -2.752 0.528 Mo
-0.502 -0.627 -0.333 Te
-3.885 -1.745 -1.401 Te
-3.727 -4.651 -2.473 Ca

# 9
SiGeAuS (PBE-GGA, optimized geometry); E_form (uncorrected) = -0.31 eV/f.u.; total magnetic moment = 0.000 μB/atom; energy above the lowest structure with this stoichiometry = 5 meV/atom; crystal system = orthorhombic
1.0
-3.240 3.138 -2.540
-1.171 -2.612 -1.734
-3.072 -0.672 3.087
Si Au S Ge
1 1 1 1
Cartesian
-2.245 0.255 -2.096 Si
-0.882 -1.371 -0.569 Au
-3.652 1.124 0.772 S
-1.820 -0.398 1.830 Ge

# 10
NpMn2Si (PBE-GGA, optimized geometry); E_form (uncorrected) = -0.65 eV/f.u.; total magnetic moment = 0.116 μB/atom; energy above the lowest structure with this stoichiometry = 0 meV/atom; crystal system = trigonal
1.0
-3.279 -2.749 -0.491
-1.825 -1.814 3.454
-4.154 1.365 1.207
Mn Np Si
2 1 1
Cartesian
-2.716 -0.327 1.079 Mn
-6.541 -2.872 3.092 Mn
0.000 0.000 0.000 Np
-4.629 -1.599 2.085 Si

# 11
GeW (PBE-GGA, optimized geometry); total magnetic moment = 0.000 μB/atom; energy relative to the elements = 0.890 eV/atom; energy above the lowest structure with this stoichiometry = 630 meV/atom; crystal system = hexagonal
1.0
10.184 0.000 0.000
-5.092 8.820 0.000
0.000 0.000 3.156
Ge W
6 6
Cartesian
-1.968 7.896 2.367 Ge
2.730 6.577 2.367 Ge
-0.762 3.167 2.367 Ge
2.362 2.243 0.789 Ge
5.854 5.653 0.789 Ge
7.061 0.924 0.789 Ge
1.575 4.233 2.367 W
7.306 3.480 0.789 W
3.517 4.587 0.789 W
-2.214 5.340 2.367 W
4.453 0.752 0.789 W
0.639 8.068 2.367 W

What is the formula in the fifth record? Tb2PmSm6Er